No. 1
LiP2Rh after structural relaxation. Source: the Alexandria database, functional PBE.

It has space group C2/m (No. 12), with a = 5.102 Å, b = 7.071 Å, c = 2.915 Å, α = 90.00°, β = 90.15° and γ = 90.00°. The inequivalent atoms are Li at (0.000, 0.000, 0.000), P at (0.250, 0.250, 0.500) and Rh at (0.000, 0.500, 0.000).

The value obtained for the offset from the most stable computed form is 0.72 eV per formula unit. For the formation energy, the calculation gives -0.25 eV per atom.

---

No. 2
MgTlIn2 after structural relaxation. Source: the Alexandria database, functional PBE.

It has space group F-43m (No. 216), with a = 7.533 Å, b = 7.533 Å, c = 7.533 Å, α = 90.00°, β = 90.00° and γ = 90.00°. The inequivalent atoms are Mg at (0.000, 0.000, 0.000), Tl at (0.250, 0.250, 0.750), In at (0.000, 0.000, 0.500) and In at (0.250, 0.250, 0.250).

For the formation energy, the calculation gives 0.05 eV per atom.

---

No. 3
Ba2PdAu after structural relaxation. Source: the Alexandria database, functional PBE.

It has space group P4/mmm (No. 123), with a = 5.592 Å, b = 5.592 Å, c = 4.012 Å, α = 90.00°, β = 90.00° and γ = 90.00°. The inequivalent atoms are Ba at (0.000, 0.500, 0.000), Pd at (0.000, 0.000, 0.500) and Au at (0.500, 0.500, 0.500).

For the formation energy, the calculation gives -0.59 eV per atom.

---

No. 4
LiTb4S6 after structural relaxation. Source: the Alexandria database, functional PBE.

It has space group Cmcm (No. 63), with a = 3.912 Å, b = 13.028 Å, c = 20.274 Å, α = 90.00°, β = 90.00° and γ = 90.00°. The inequivalent atoms are Li at (0.000, 0.179, 0.250), Tb at (0.000, 0.098, 0.639), Tb at (0.000, 0.368, 0.545), S at (0.000, 0.000, 0.000), S at (0.000, 0.203, 0.750), S at (0.000, 0.275, 0.080) and S at (0.000, 0.461, 0.662).

The calculation puts the uncorrected formation energy at -1.926 eV per atom.

---

No. 5
La2TbTe4 after structural relaxation. Source: the Alexandria database, functional PBE.

It has space group Imma (No. 74), with a = 8.960 Å, b = 9.049 Å, c = 12.535 Å, α = 90.00°, β = 90.00° and γ = 90.00°. The inequivalent atoms are La at (0.000, 0.000, 0.000), La at (0.250, 0.250, 0.250), Tb at (0.250, 0.250, 0.750), Te at (0.000, 0.009, 0.740) and Te at (0.244, 0.250, 0.505).

The value obtained for the offset from the most stable computed form is 0.00 eV per formula unit. The calculation puts the uncorrected formation energy at -1.515 eV per atom.

---

No. 6
ZrAl4Cu after structural relaxation. Source: the Alexandria database, functional PBE.

It has space group F-43m (No. 216), with a = 7.442 Å, b = 7.442 Å, c = 7.442 Å, α = 90.00°, β = 90.00° and γ = 90.00°. The inequivalent atoms are Zr at (0.000, 0.000, 0.000), Al at (0.125, 0.125, 0.625) and Cu at (0.250, 0.250, 0.250).

For the formation energy, the calculation gives -0.03 eV per atom.

---

No. 7
SrZr2UO8 after structural relaxation. Source: the Alexandria database, functional PBE.

It has space group Cmmm (No. 65), with a = 7.112 Å, b = 7.294 Å, c = 6.857 Å, α = 90.00°, β = 90.00° and γ = 90.00°. The inequivalent atoms are Sr at (0.000, 0.000, 0.000), Zr at (0.000, 0.500, 0.243), U at (0.000, 0.000, 0.500), O at (0.000, 0.300, 0.500), O at (0.000, 0.328, 0.000) and O at (0.204, 0.000, 0.286).

The calculation puts the uncorrected formation energy at -3.158 eV per atom.

---

No. 8
Mn2TlI6 after structural relaxation. Source: the Alexandria database, functional PBE.

It has space group P-31m (No. 162), with a = 7.3591 Å, b = 7.3591 Å, c = 7.6132 Å, α = 90.00°, β = 90.00° and γ = 120.00°. The inequivalent atoms are Mn at (0.3333, 0.6667, 0.0000), Tl at (0.0000, 0.0000, 0.5000) and I at (0.0000, 0.3729, 0.2153).

The value obtained for the offset from the most stable computed form is 0.00 eV per formula unit. The calculation puts the uncorrected formation energy at -0.420 eV per atom.

---

No. 9
Nb6SnS12 after structural relaxation. Source: the Alexandria database, functional PBE.

It has space group R-3m (No. 166, hexagonal axes), with a = 11.6818 Å, b = 11.6818 Å, c = 9.4951 Å, α = 90.00°, β = 90.00° and γ = 120.00°. The inequivalent atoms are Nb at (0.0678, 0.5339, 0.2898), Sn at (0.0000, 0.0000, 0.0000), S at (0.0000, 0.3734, 0.5000) and S at (0.0948, 0.1897, 0.3652).

The calculation puts the uncorrected formation energy at -0.527 eV per atom.

---

No. 10
InB2AuBr after structural relaxation. Source: the Alexandria database, functional PBE.

It has space group P4/mmm (No. 123), with a = 4.516 Å, b = 4.516 Å, c = 5.649 Å, α = 90.00°, β = 90.00° and γ = 90.00°. The inequivalent atoms are In at (0.000, 0.000, 0.000), B at (0.000, 0.500, 0.000), Au at (0.500, 0.500, 0.500) and Br at (0.000, 0.000, 0.500).

The calculation puts the uncorrected formation energy at 1.656 eV per atom.

---

No. 11
TbSmEr2P4 after structural relaxation. Source: the Alexandria database, functional PBE.

It has space group P2/m (No. 10), with a = 6.958 Å, b = 4.020 Å, c = 6.960 Å, α = 90.00°, β = 109.47° and γ = 90.00°. The inequivalent atoms are Tb at (0.000, 0.000, 0.000), Sm at (0.000, 0.500, 0.500), Er at (0.500, 0.000, 0.500), Er at (0.500, 0.500, 0.000), P at (0.255, 0.500, 0.250) and P at (0.257, 0.000, 0.755).

For the formation energy, the calculation gives -1.60 eV per atom.

---

No. 12
CsAgTeAu after structural relaxation. Source: the Alexandria database, functional PBE.

It has space group P4/nmm (No. 129, origin choice 2), with a = 4.203 Å, b = 4.203 Å, c = 14.752 Å, α = 90.00°, β = 90.00° and γ = 90.00°. The inequivalent atoms are Cs at (0.250, 0.250, 0.209), Ag at (0.250, 0.750, 0.500), Te at (0.250, 0.250, 0.631) and Au at (0.250, 0.750, 0.000).

The calculation puts the uncorrected formation energy at -0.298 eV per atom.

---

No. 13
V6CrRu2 after structural relaxation. Source: the Alexandria database, functional PBE.

It has space group Immm (No. 71), with a = 4.123 Å, b = 5.750 Å, c = 11.969 Å, α = 90.00°, β = 90.00° and γ = 90.00°. The inequivalent atoms are V at (0.000, 0.239, 0.000), V at (0.000, 0.256, 0.340), Cr at (0.000, 0.500, 0.500) and Ru at (0.000, 0.500, 0.168).

For the formation energy, the calculation gives 0.42 eV per atom.

---

No. 14
Tm3O after structural relaxation. Source: the Alexandria database, functional PBE.

It has space group P-4m2 (No. 115), with a = 3.572 Å, b = 3.572 Å, c = 8.416 Å, α = 90.00°, β = 90.00° and γ = 90.00°. The inequivalent atoms are Tm at (0.000, 0.000, 0.000), Tm at (0.000, 0.500, 0.647) and O at (0.500, 0.500, 0.500).

The calculation puts the uncorrected formation energy at -1.267 eV per atom.

---

No. 15
KBeSbH2 after structural relaxation. Source: the Alexandria database, functional PBE.

It has space group P4/mmm (No. 123), with a = 4.381 Å, b = 4.381 Å, c = 4.851 Å, α = 90.00°, β = 90.00° and γ = 90.00°. The inequivalent atoms are K at (0.000, 0.000, 0.000), Be at (0.500, 0.500, 0.000), Sb at (0.500, 0.500, 0.500) and H at (0.000, 0.500, 0.500).

The electronic total energy comes out at -12.96 eV per cell.

---

No. 16
KBaHg2Bi2 after structural relaxation. Source: the Alexandria database, functional PBE.

It has space group P-3m1 (No. 164), with a = 5.2309 Å, b = 5.2309 Å, c = 9.5225 Å, α = 90.00°, β = 90.00° and γ = 120.00°. The inequivalent atoms are K at (0.0000, 0.0000, 0.0000), Ba at (0.0000, 0.0000, 0.5000), Hg at (0.3333, 0.6667, 0.7137) and Bi at (0.3333, 0.6667, 0.2568).

For the formation energy, the calculation gives -0.46 eV per atom.

---

No. 17
CrFe2GeN after structural relaxation. Source: the Alexandria database, functional PBE.

It has space group P4/mmm (No. 123), with a = 3.793 Å, b = 3.793 Å, c = 3.856 Å, α = 90.00°, β = 90.00° and γ = 90.00°. The inequivalent atoms are Cr at (0.000, 0.000, 0.000), Fe at (0.000, 0.500, 0.500), Ge at (0.500, 0.500, 0.000) and N at (0.000, 0.000, 0.500).

The calculation puts the uncorrected formation energy at -0.152 eV per atom.

---

No. 18
Ac2Pr8Sc after structural relaxation. Source: the Alexandria database, functional PBE.

It has space group C2/m (No. 12), with a = 18.954 Å, b = 5.292 Å, c = 8.319 Å, α = 90.00°, β = 105.44° and γ = 90.00°. The inequivalent atoms are Ac at (0.226, 0.000, 0.140), Pr at (0.042, 0.000, 0.232), Pr at (0.087, 0.500, 0.942), Pr at (0.131, 0.000, 0.669), Pr at (0.176, 0.500, 0.407) and Sc at (0.000, 0.500, 0.500).

For the formation energy, the calculation gives 0.04 eV per atom.

---

No. 19
AcThRh2 after structural relaxation. Source: the Alexandria database, functional PBE.

It has space group P2/c (No. 13), with a = 5.836 Å, b = 5.908 Å, c = 11.976 Å, α = 90.00°, β = 107.25° and γ = 90.00°. The inequivalent atoms are Ac at (0.186, 0.145, 0.139), Th at (0.317, 0.356, 0.865), Rh at (0.165, 0.360, 0.606) and Rh at (0.349, 0.163, 0.418).

The value obtained for the offset from the most stable computed form is 0.00 eV per formula unit. For the formation energy, the calculation gives -0.79 eV per atom.

---

No. 20
ZnRe2Ir after structural relaxation. Source: the Alexandria database, functional PBE.

It has space group I4/mmm (No. 139), with a = 3.734 Å, b = 3.734 Å, c = 8.361 Å, α = 90.00°, β = 90.00° and γ = 90.00°. The inequivalent atoms are Zn at (0.000, 0.000, 0.000), Re at (0.000, 0.500, 0.250) and Ir at (0.000, 0.000, 0.500).

The value obtained for the offset from the most stable computed form is 0.52 eV per formula unit. For the formation energy, the calculation gives 0.13 eV per atom.

---

Calculated volume, 13.147; 26.718; 31.368; 23.486; 36.295; 17.171; 14.822; 39.674; 19.687; 23.043; 22.946; 32.578; 15.765; 26.850; 18.623; 37.608; 11.091; 36.561; 24.649; 14.575 Å³ per atom (same order as the records).
Calculated D(E_F), 2.4; 3.4; 1.7; 2.0; 2.5; 6.1; 0.0; 5.8; 14.0; 2.3; 0.9; 1.9; 9.9; 4.4; 2.3; 1.5; 4.3; 18.6; 2.6; 2.8 states/eV/f.u. (same order as the records).
Calculated total magnetic moment, 0.00; 0.00; 0.00; 0.00; 0.00; 0.15; 0.00; 9.00; 7.00; 0.00; 0.00; 0.00; 0.00; 0.41; 0.00; 0.00; 2.78; 0.00; 0.00; 0.00 μB per cell (same order as the records).